(1)
VASP calculation (PBE) on a relaxed structure of BaCl2F6.

Values from the calculation:
Magnetic moment (μB/atom): 0.22
Space-group type: C2/c
E_form (uncorrected) (eV per atom): -1.54

Cell lengths 7.7564, 7.7564, 7.8600 Å; angles 117.56, 117.56, 63.49 degrees
With the nearest neighbours (Å) after each atom.
Sites, in units of the cell vectors:
Ba 0.1770 0.8230 0.7500  8 F 2.59-2.86
Ba 0.8230 0.1770 0.2500  8 F 2.59-2.86
Cl 0.1653 0.3915 0.2164  2 F 1.76-1.89
Cl 0.3915 0.1653 0.7164  2 F 1.76-1.89
Cl 0.6085 0.8347 0.2836  2 F 1.76-1.89
Cl 0.8347 0.6085 0.7836  2 F 1.76-1.89
F 0.0602 0.1668 0.0548  1 Cl 1.89
F 0.1668 0.0602 0.5548  1 Cl 1.89
F 0.1790 0.4566 0.6602  1 Cl 2.22
F 0.2558 0.6054 0.3725  1 Cl 1.76
F 0.3946 0.7442 0.1275  1 Cl 1.76
F 0.4566 0.1790 0.1602  1 Cl 2.22
F 0.5434 0.8210 0.8398  1 Cl 2.22
F 0.6054 0.2558 0.8725  1 Cl 1.76
F 0.7442 0.3946 0.6275  1 Cl 1.76
F 0.8210 0.5434 0.3398  1 Cl 2.22
F 0.8332 0.9398 0.4452  1 Cl 1.89
F 0.9398 0.8332 0.9452  1 Cl 1.89

---

(2)
VASP calculation (PBE) on a relaxed structure of BaClF6.

Values from the calculation:
Magnetic moment (μB/atom): 0.13
Space-group type: R-3m
E_form (uncorrected) (eV per atom): -1.59

Cell lengths 6.0376, 6.0376, 6.0376 Å; angles 51.99, 51.99, 51.99 degrees
With the nearest neighbours (Å) after each atom.
Sites, in units of the cell vectors:
Ba 0.0000 0.0000 0.0000  12 F 2.97
Cl 0.5000 0.5000 0.5000  6 F 1.95
F 0.0923 0.5842 0.5842  1 Cl 1.95
F 0.4158 0.4158 0.9077  1 Cl 1.95
F 0.4158 0.9077 0.4158  1 Cl 1.95
F 0.5842 0.0923 0.5842  1 Cl 1.95
F 0.5842 0.5842 0.0923  1 Cl 1.95
F 0.9077 0.4158 0.4158  1 Cl 1.95

---

(3)
VASP calculation (PBE) on a relaxed structure of BaCl3F.

Values from the calculation:
Magnetic moment (μB/atom): 0.40
Space-group type: Pm-3m
E_form (uncorrected) (eV per atom): -1.02
Polymorph energy (0 for the lowest one) (meV per atom): 227

Cell lengths 6.1374, 6.1374, 6.1374 Å; angles 90.00, 90.00, 90.00 degrees
With the nearest neighbours (Å) after each atom.
Sites, in units of the cell vectors:
Ba 0.0000 0.0000 0.0000  6 Cl 3.07
Cl 0.0000 0.0000 0.5000  2 Ba 3.07
Cl 0.0000 0.5000 0.0000  2 Ba 3.07
Cl 0.5000 0.0000 0.0000  2 Ba 3.07
F 0.5000 0.5000 0.5000  12 Cl 4.34

---

(4)
VASP calculation (PBE) on a relaxed structure of Ba5Cl12F3.

Values from the calculation:
Magnetic moment (μB/atom): 0.25
Space-group type: Ia-3d
E_form (uncorrected) (eV per atom): -1.53

Cell lengths 16.4511, 16.4511, 16.4511 Å; angles 109.47, 109.47, 109.47 degrees
With the nearest neighbours (Å) after each atom.
Sites, in units of the cell vectors:
Ba 0.0000 0.0000 0.0000  6 Cl 3.07
Ba 0.0000 0.0000 0.5000  6 Cl 3.07
Ba 0.0000 0.5000 0.0000  6 Cl 3.07
Ba 0.0000 0.5000 0.5000  6 Cl 3.07
Ba 0.1250 0.7500 0.8750  4 Cl 2.98
Ba 0.1250 0.8750 0.2500  4 Cl 2.98
Ba 0.2500 0.1250 0.8750  4 Cl 2.98
Ba 0.2500 0.6250 0.3750  4 Cl 2.98
Ba 0.3750 0.2500 0.6250  4 Cl 2.98
Ba 0.3750 0.6250 0.7500  4 Cl 2.98
Ba 0.5000 0.0000 0.0000  6 Cl 3.07
Ba 0.5000 0.0000 0.5000  6 Cl 3.07
Ba 0.5000 0.5000 0.0000  6 Cl 3.07
Ba 0.5000 0.5000 0.5000  6 Cl 3.07
Ba 0.6250 0.3750 0.2500  4 Cl 2.98
Ba 0.6250 0.7500 0.3750  4 Cl 2.98
Ba 0.7500 0.3750 0.6250  4 Cl 2.98
Ba 0.7500 0.8750 0.1250  4 Cl 2.98
Ba 0.8750 0.1250 0.7500  4 Cl 2.98
Ba 0.8750 0.2500 0.1250  4 Cl 2.98
Cl 0.0192 0.2071 0.0739  2 Ba 2.98-3.07, 1 Cl 3.14
Cl 0.0192 0.3121 0.9454  2 Ba 2.98-3.07, 1 Cl 3.14
Cl 0.0546 0.5739 0.3667  2 Ba 2.98-3.07, 1 Cl 3.14
Cl 0.0546 0.9808 0.6879  2 Ba 2.98-3.07, 1 Cl 3.14
Cl 0.0739 0.0192 0.2071  2 Ba 2.98-3.07, 1 Cl 3.14
Cl 0.0739 0.5546 0.8667  2 Ba 2.98-3.07, 1 Cl 3.14
Cl 0.1333 0.7071 0.6879  2 Ba 2.98-3.07, 1 Cl 3.14
Cl 0.1333 0.9261 0.4454  2 Ba 2.98-3.07, 1 Cl 3.14
Cl 0.1879 0.2071 0.6333  2 Ba 2.98-3.07, 1 Cl 3.14
Cl 0.1879 0.4808 0.5546  2 Ba 2.98-3.07, 1 Cl 3.14
Cl 0.2071 0.0739 0.0192  2 Ba 2.98-3.07, 1 Cl 3.14
Cl 0.2071 0.6333 0.1879  2 Ba 2.98-3.07, 1 Cl 3.14
Cl 0.2929 0.3121 0.8667  2 Ba 2.98-3.07, 1 Cl 3.14
Cl 0.2929 0.4808 0.4261  2 Ba 2.98-3.07, 1 Cl 3.14
Cl 0.3121 0.8667 0.2929  2 Ba 2.98-3.07, 1 Cl 3.14
Cl 0.3121 0.9454 0.0192  2 Ba 2.98-3.07, 1 Cl 3.14
Cl 0.3667 0.0546 0.5739  2 Ba 2.98-3.07, 1 Cl 3.14
Cl 0.3667 0.8121 0.7929  2 Ba 2.98-3.07, 1 Cl 3.14
Cl 0.4261 0.2929 0.4808  2 Ba 2.98-3.07, 1 Cl 3.14
Cl 0.4261 0.6333 0.9454  2 Ba 2.98-3.07, 1 Cl 3.14
Cl 0.4454 0.1333 0.9261  2 Ba 2.98-3.07, 1 Cl 3.14
Cl 0.4454 0.8121 0.5192  2 Ba 2.98-3.07, 1 Cl 3.14
Cl 0.4808 0.4261 0.2929  2 Ba 2.98-3.07, 1 Cl 3.14
Cl 0.4808 0.5546 0.1879  2 Ba 2.98-3.07, 1 Cl 3.14
Cl 0.5192 0.4454 0.8121  2 Ba 2.98-3.07, 1 Cl 3.14
Cl 0.5192 0.5739 0.7071  2 Ba 2.98-3.07, 1 Cl 3.14
Cl 0.5546 0.1879 0.4808  2 Ba 2.98-3.07, 1 Cl 3.14
Cl 0.5546 0.8667 0.0739  2 Ba 2.98-3.07, 1 Cl 3.14
Cl 0.5739 0.3667 0.0546  2 Ba 2.98-3.07, 1 Cl 3.14
Cl 0.5739 0.7071 0.5192  2 Ba 2.98-3.07, 1 Cl 3.14
Cl 0.6333 0.1879 0.2071  2 Ba 2.98-3.07, 1 Cl 3.14
Cl 0.6333 0.9454 0.4261  2 Ba 2.98-3.07, 1 Cl 3.14
Cl 0.6879 0.0546 0.9808  2 Ba 2.98-3.07, 1 Cl 3.14
Cl 0.6879 0.1333 0.7071  2 Ba 2.98-3.07, 1 Cl 3.14
Cl 0.7071 0.5192 0.5739  2 Ba 2.98-3.07, 1 Cl 3.14
Cl 0.7071 0.6879 0.1333  2 Ba 2.98-3.07, 1 Cl 3.14
Cl 0.7929 0.3667 0.8121  2 Ba 2.98-3.07, 1 Cl 3.14
Cl 0.7929 0.9261 0.9808  2 Ba 2.98-3.07, 1 Cl 3.14
Cl 0.8121 0.5192 0.4454  2 Ba 2.98-3.07, 1 Cl 3.14
Cl 0.8121 0.7929 0.3667  2 Ba 2.98-3.07, 1 Cl 3.14
Cl 0.8667 0.0739 0.5546  2 Ba 2.98-3.07, 1 Cl 3.14
Cl 0.8667 0.2929 0.3121  2 Ba 2.98-3.07, 1 Cl 3.14
Cl 0.9261 0.4454 0.1333  2 Ba 2.98-3.07, 1 Cl 3.14
Cl 0.9261 0.9808 0.7929  2 Ba 2.98-3.07, 1 Cl 3.14
Cl 0.9454 0.0192 0.3121  2 Ba 2.98-3.07, 1 Cl 3.14
Cl 0.9454 0.4261 0.6333  2 Ba 2.98-3.07, 1 Cl 3.14
Cl 0.9808 0.6879 0.0546  2 Ba 2.98-3.07, 1 Cl 3.14
Cl 0.9808 0.7929 0.9261  2 Ba 2.98-3.07, 1 Cl 3.14
F 0.1250 0.2500 0.3750  4 Cl 3.48
F 0.1250 0.3750 0.7500  4 Cl 3.48
F 0.2500 0.3750 0.1250  4 Cl 3.48
F 0.2500 0.8750 0.6250  4 Cl 3.48
F 0.3750 0.1250 0.2500  4 Cl 3.48
F 0.3750 0.7500 0.1250  4 Cl 3.48
F 0.6250 0.2500 0.8750  4 Cl 3.48
F 0.6250 0.8750 0.7500  4 Cl 3.48
F 0.7500 0.1250 0.3750  4 Cl 3.48
F 0.7500 0.6250 0.8750  4 Cl 3.48
F 0.8750 0.6250 0.2500  4 Cl 3.48
F 0.8750 0.7500 0.6250  4 Cl 3.48

---

(5)
VASP calculation (PBE) on a relaxed structure of BaCl3F.

Values from the calculation:
Magnetic moment (μB/atom): 0.30
Space-group type: Pm-3m
E_form (uncorrected) (eV per atom): -1.25
Polymorph energy (0 for the lowest one) (meV per atom): 0

Cell lengths 4.9468, 4.9468, 4.9468 Å; angles 90.00, 90.00, 90.00 degrees
With the nearest neighbours (Å) after each atom.
Sites, in units of the cell vectors:
Ba 0.0000 0.0000 0.0000  12 Cl 3.50
Cl 0.0000 0.5000 0.5000  2 F 2.47
Cl 0.5000 0.0000 0.5000  2 F 2.47
Cl 0.5000 0.5000 0.0000  2 F 2.47
F 0.5000 0.5000 0.5000  6 Cl 2.47

---

(6)
VASP calculation (PBE) on a relaxed structure of Ba2ClF.

Values from the calculation:
Magnetic moment (μB/atom): 0.43
Space-group type: I-42d
E_form (uncorrected) (eV per atom): -2.15
Polymorph energy (0 for the lowest one) (meV per atom): 0

Cell lengths 6.8807, 6.8807, 13.2955 Å; angles 90.00, 90.00, 90.00 degrees
With the nearest neighbours (Å) after each atom.
Sites, in units of the cell vectors:
Ba 0.2064 0.2500 0.1250  2 F 2.78
Ba 0.2500 0.7064 0.3750  2 F 2.78
Ba 0.2500 0.7936 0.8750  2 F 2.78
Ba 0.2936 0.2500 0.6250  2 F 2.78
Ba 0.7064 0.7500 0.6250  2 F 2.78
Ba 0.7500 0.2064 0.8750  2 F 2.78
Ba 0.7500 0.2936 0.3750  2 F 2.78
Ba 0.7936 0.7500 0.1250  2 F 2.78
Cl 0.0000 0.0000 0.5000  4 Ba 3.13
Cl 0.0000 0.5000 0.7500  4 Ba 3.13
Cl 0.5000 0.0000 0.2500  4 Ba 3.13
Cl 0.5000 0.5000 0.0000  4 Ba 3.13
F 0.0000 0.0000 0.0000  4 Ba 2.78
F 0.0000 0.5000 0.2500  4 Ba 2.78
F 0.5000 0.0000 0.7500  4 Ba 2.78
F 0.5000 0.5000 0.5000  4 Ba 2.78

---

(7)
VASP calculation (PBE) on a relaxed structure of Ba3ClF.

Values from the calculation:
Magnetic moment (μB/atom): 0.70
Space-group type: Pm-3m
E_form (uncorrected) (eV per atom): -1.27
Polymorph energy (0 for the lowest one) (meV per atom): 0

Cell lengths 5.7156, 5.7156, 5.7156 Å; angles 90.00, 90.00, 90.00 degrees
With the nearest neighbours (Å) after each atom.
Sites, in units of the cell vectors:
Ba 0.0000 0.0000 0.5000  2 F 2.86
Ba 0.0000 0.5000 0.0000  2 F 2.86
Ba 0.5000 0.0000 0.0000  2 F 2.86
Cl 0.5000 0.5000 0.5000  12 Ba 4.04
F 0.0000 0.0000 0.0000  6 Ba 2.86

---

(8)
VASP calculation (PBE) on a relaxed structure of Ba7Cl2F12.

Values from the calculation:
Magnetic moment (μB/atom): 0.01
Space-group type: P-6
E_form (uncorrected) (eV per atom): -3.68

Cell lengths 10.7960, 10.7960, 4.2258 Å; angles 90.00, 90.00, 120.00 degrees
With the nearest neighbours (Å) after each atom.
Sites, in units of the cell vectors:
Ba 0.0000 0.0000 0.0000  3 F 2.59
Ba 0.1102 0.6977 0.0000  5 F 2.62-2.68
Ba 0.3023 0.4125 0.0000  5 F 2.62-2.68
Ba 0.3993 0.1126 0.5000  7 F 2.66-2.79
Ba 0.5875 0.8898 0.0000  5 F 2.62-2.68
Ba 0.7134 0.6007 0.5000  7 F 2.66-2.79
Ba 0.8874 0.2866 0.5000  7 F 2.66-2.79
Cl 0.3333 0.6667 0.5000  6 Ba 3.34, 9 F 3.48-3.70
Cl 0.6667 0.3333 0.0000  6 Ba 3.41, 9 F 3.52-3.65
F 0.0623 0.4290 0.0000  4 Ba 2.68-2.74, 1 F 2.98
F 0.0960 0.2152 0.5000  5 Ba 2.72-3.04
F 0.1191 0.9040 0.5000  5 Ba 2.72-3.04
F 0.2766 0.1577 0.0000  4 Ba 2.59-2.66
F 0.3667 0.9377 0.0000  4 Ba 2.68-2.74, 1 F 2.98
F 0.4383 0.3886 0.5000  4 Ba 2.66-2.79
F 0.5710 0.6333 0.0000  4 Ba 2.68-2.74, 1 F 2.98
F 0.6114 0.0496 0.5000  4 Ba 2.66-2.79
F 0.7848 0.8809 0.5000  5 Ba 2.72-3.04
F 0.8423 0.1189 0.0000  4 Ba 2.59-2.66
F 0.8811 0.7234 0.0000  4 Ba 2.59-2.66
F 0.9504 0.5617 0.5000  4 Ba 2.66-2.79

---

Question: Which of these has the highest E_form (uncorrected)?
Answer: number 3